No. 1
Below is a geometry-optimized Pr2Sm2Er5 structure, with properties calculated at the GGA-PBE level.

For the energy above the most stable polymorph in this dataset, the calculation gives 0.23 eV/f.u. The total magnetization comes out at 0.0 μB per cell. The total energy is -79.45 eV for the cell shown.

The structure belongs to space group C2/m (No. 12); the cell edges are 21.6066, 3.4954 and 8.2824 Å and the angles 90.00°, 99.87° and 90.00°. The distinct sites, in fractional coordinates, are Pr at (0.1841, 0.0000, 0.1430), Sm at (0.0462, 0.5000, 0.3550), Er at (0.0000, 0.0000, 0.0000), Er at (0.0985, 0.0000, 0.7359) and Er at (0.1904, 0.5000, 0.5269).

No. 2
Below is a geometry-optimized Pr9SmEr2 structure, with properties calculated at the GGA-PBE level.

The total magnetization comes out at 0.0 μB per cell. The total energy is -56.68 eV for the cell shown.

The structure belongs to space group P4/mmm (No. 123); the cell edges are 5.1903, 5.1903 and 15.5773 Å and the angles 90.00°, 90.00° and 90.00°. The distinct sites, in fractional coordinates, are Pr at (0.0000, 0.0000, 0.0000), Pr at (0.0000, 0.0000, 0.3348), Pr at (0.0000, 0.5000, 0.1685), Pr at (0.0000, 0.5000, 0.5000), Sm at (0.5000, 0.5000, 0.0000) and Er at (0.5000, 0.5000, 0.3344).

No. 3
Below is a geometry-optimized PrSm12Er5 structure, with properties calculated at the GGA-PBE level.

The total magnetization comes out at 0.0 μB per cell. The total energy is -167.76 eV for the cell shown.

The structure belongs to space group Cmmm (No. 65); the cell edges are 15.2526, 15.2722 and 5.0906 Å and the angles 90.00°, 90.00° and 90.00°. The distinct sites, in fractional coordinates, are Pr at (0.0000, 0.0000, 0.0000), Sm at (0.1649, 0.3338, 0.5000), Sm at (0.1645, 0.5000, 0.0000), Sm at (0.1664, 0.1677, 0.0000), Sm at (0.1674, 0.0000, 0.5000), Er at (0.0000, 0.1683, 0.5000), Er at (0.0000, 0.3335, 0.0000) and Er at (0.0000, 0.5000, 0.5000).

No. 4
Below is a geometry-optimized PrSmEr structure, with properties calculated at the GGA-PBE level.

For the energy above the most stable polymorph in this dataset, the calculation gives 0.00 eV/f.u. The total magnetization comes out at 0.0 μB per cell. The total energy is -55.98 eV for the cell shown.

The structure belongs to space group C2/m (No. 12); the cell edges are 6.2689, 3.6222 and 17.6876 Å and the angles 90.00°, 90.01° and 90.00°. The distinct sites, in fractional coordinates, are Pr at (0.0012, 0.0000, 0.2454), Sm at (0.1678, 0.5000, 0.4179) and Er at (0.1678, 0.5000, 0.0793).

No. 5
Below is a geometry-optimized Pr7Sm3Er structure, with properties calculated at the GGA-PBE level.

For the energy above the most stable polymorph in this dataset, the calculation gives 0.00 eV/f.u. The total magnetization comes out at 0.0 μB per cell. The total energy is -200.58 eV for the cell shown.

The structure belongs to space group C2/c (No. 15); the cell edges are 18.8079, 7.1432 and 12.8885 Å and the angles 90.00°, 113.66° and 90.00°. The distinct sites, in fractional coordinates, are Pr at (0.0000, 0.1396, 0.2500), Pr at (0.1323, 0.4693, 0.7756), Pr at (0.1668, 0.2397, 0.5280), Pr at (0.1707, 0.2447, 0.0357), Sm at (0.0000, 0.5000, 0.0000), Sm at (0.1810, 0.0120, 0.2731) and Er at (0.0000, 0.0000, 0.0000).

No. 6
Below is a geometry-optimized Pr5Sm2Er12 structure, with properties calculated at the GGA-PBE level.

For the energy above the most stable polymorph in this dataset, the calculation gives 0.00 eV/f.u. The total magnetization comes out at 0.0 μB per cell. The total energy is -171.53 eV for the cell shown.

The structure belongs to space group C2/m (No. 12); the cell edges are 15.6469, 9.3045 and 8.6527 Å and the angles 90.00°, 92.27° and 90.00°. The distinct sites, in fractional coordinates, are Pr at (0.0000, 0.0000, 0.0000), Pr at (0.2069, 0.5000, 0.5174), Pr at (0.2309, 0.0000, 0.0715), Sm at (0.0000, 0.3243, 0.5000), Er at (0.0560, 0.5000, 0.8349), Er at (0.0755, 0.0000, 0.3767), Er at (0.1293, 0.3107, 0.1651) and Er at (0.1479, 0.1782, 0.7409).

No. 7
Below is a geometry-optimized Pr5Sm4Er2 structure, with properties calculated at the GGA-PBE level.

For the energy above the most stable polymorph in this dataset, the calculation gives 1.53 eV/f.u. The total magnetization comes out at 0.0 μB per cell. The total energy is -99.04 eV for the cell shown.

The structure belongs to space group Immm (No. 71); the cell edges are 3.5456, 9.4052 and 23.5698 Å and the angles 90.00°, 90.00° and 90.00°. The distinct sites, in fractional coordinates, are Pr at (0.0000, 0.0000, 0.0000), Pr at (0.0000, 0.2950, 0.3496), Sm at (0.0000, 0.1961, 0.5000), Sm at (0.0000, 0.5000, 0.0964) and Er at (0.0000, 0.5000, 0.2300).

No. 8
Below is a geometry-optimized Pr5Sm2Er structure, with properties calculated at the GGA-PBE level.

The total magnetization comes out at 0.0 μB per cell. The total energy is -75.54 eV for the cell shown.

The structure belongs to space group Pbam (No. 55); the cell edges are 7.3171, 14.6770 and 5.1913 Å and the angles 90.00°, 90.00° and 90.00°. The distinct sites, in fractional coordinates, are Pr at (0.0000, 0.0000, 0.0000), Pr at (0.0014, 0.2519, 0.0000), Pr at (0.2478, 0.6234, 0.5000), Sm at (0.2501, 0.3763, 0.5000) and Er at (0.0000, 0.5000, 0.0000).